No. 1
Material: DyAl4Ni
Method: DFT, PBE
State: relaxed

```
data_DyAl4Ni
_chemical_formula_sum 'Dy2 Al8 Ni2'
_symmetry_space_group_name_H-M 'P 1 21/m 1'
_symmetry_Int_Tables_number 11
_cell_length_a 4.0607
_cell_length_b 6.6451
_cell_length_c 7.9558
_cell_angle_alpha 90.00
_cell_angle_beta 104.88
_cell_angle_gamma 90.00
loop_
_symmetry_equiv_pos_as_xyz
'x,y,z'
'-x,-y,-z'
'-x,y+1/2,-z'
'x,-y+1/2,z'
loop_
_atom_site_label
_atom_site_fract_x
_atom_site_fract_y
_atom_site_fract_z
Dy1 0.1177 0.2500 0.2360
Al1 0.0761 0.7500 0.1522
Al2 0.3111 0.0534 0.6226
Al3 0.5000 0.0000 0.0000
Ni1 0.2273 0.7500 0.4539
```

Total moment (μB per formula unit): 0.00
Energy of formation from the pure elements (kJ/mol of atoms): -53.49

=====

No. 2
Material: Dy2AlNi7
Method: DFT, PBE
State: relaxed

```
data_Dy2AlNi7
_chemical_formula_sum 'Dy8 Al4 Ni28'
_symmetry_space_group_name_H-M 'F m -3 m'
_symmetry_Int_Tables_number 225
_symmetry_space_group_name_Hall '-F 4 2 3'
_cell_length_a 8.7023
_cell_length_b 8.7023
_cell_length_c 8.7023
_cell_angle_alpha 90.00
_cell_angle_beta 90.00
_cell_angle_gamma 90.00
loop_
_atom_site_label
_atom_site_fract_x
_atom_site_fract_y
_atom_site_fract_z
Dy1 0.2500 0.2500 0.2500
Al1 0.0000 0.0000 0.0000
Ni1 0.0000 0.0000 0.2488
Ni2 0.0000 0.0000 0.5000
```

Total moment (μB per formula unit): 0.11
Energy of formation from the pure elements (kJ/mol of atoms): 13.07

=====

No. 3
Material: Dy3Al3Ni2
Method: DFT, PBE
State: relaxed

```
data_Dy3Al3Ni2
_chemical_formula_sum 'Dy12 Al12 Ni8'
_symmetry_space_group_name_H-M 'P n m a'
_symmetry_Int_Tables_number 62
_cell_length_a 7.8736
_cell_length_b 14.9230
_cell_length_c 5.4594
_cell_angle_alpha 90.00
_cell_angle_beta 90.00
_cell_angle_gamma 90.00
loop_
_symmetry_equiv_pos_as_xyz
'x,y,z'
'-x,-y,-z'
'-x+1/2,-y,z+1/2'
'x+1/2,y,-z+1/2'
'x+1/2,-y+1/2,-z+1/2'
'-x+1/2,y+1/2,z+1/2'
'-x,y+1/2,-z'
'x,-y+1/2,z'
loop_
_atom_site_label
_atom_site_fract_x
_atom_site_fract_y
_atom_site_fract_z
Dy1 0.0366 0.1111 0.1097
Dy2 0.1816 0.2500 0.6185
Al1 0.1655 0.7500 0.6036
Al2 0.1772 0.0345 0.6065
Ni1 0.1082 0.6066 0.3749
```

Total moment (μB per formula unit): 0.00
Energy of formation from the pure elements (kJ/mol of atoms): -48.34

=====

No. 4
Material: DyAlNi
Method: DFT, PBE
State: relaxed

```
data_DyAlNi
_chemical_formula_sum 'Dy8 Al8 Ni8'
_symmetry_space_group_name_H-M 'A m m 2'
_symmetry_Int_Tables_number 38
_cell_length_a 8.4546
_cell_length_b 5.3926
_cell_length_c 9.2493
_cell_angle_alpha 90.00
_cell_angle_beta 90.00
_cell_angle_gamma 90.00
loop_
_symmetry_equiv_pos_as_xyz
'x,y,z'
'-x,-y,z'
'-x,y,z'
'x,-y,z'
'x,y+1/2,z+1/2'
'-x,-y+1/2,z+1/2'
'-x,y+1/2,z+1/2'
'x,-y+1/2,z+1/2'
loop_
_atom_site_label
_atom_site_fract_x
_atom_site_fract_y
_atom_site_fract_z
Dy1 0.1764 0.0000 0.0000
Dy2 0.2937 0.0000 0.3370
Al1 0.2393 0.0000 0.6744
Al2 0.5000 0.2457 0.0835
Ni1 0.0000 0.0000 0.5061
Ni2 0.0000 0.2477 0.2548
Ni3 0.5000 0.0000 0.8376
```

Total moment (μB per formula unit): 0.00
Energy of formation from the pure elements (kJ/mol of atoms): -49.94

=====

No. 5
Material: DyAlNi4
Method: DFT, PBE
State: relaxed

```
data_DyAlNi4
_chemical_formula_sum 'Dy4 Al4 Ni16'
_symmetry_space_group_name_H-M 'C m c m'
_symmetry_Int_Tables_number 63
_symmetry_space_group_name_Hall '-C 2c 2'
_cell_length_a 3.8252
_cell_length_b 15.2333
_cell_length_c 5.8528
_cell_angle_alpha 90.00
_cell_angle_beta 90.00
_cell_angle_gamma 90.00
loop_
_atom_site_label
_atom_site_fract_x
_atom_site_fract_y
_atom_site_fract_z
Dy1 0.0000 0.1002 0.2500
Al1 0.0000 0.2313 0.7500
Ni1 0.0000 0.0775 0.7500
Ni2 0.0000 0.3345 0.0497
Ni3 0.0000 0.5000 0.0000
```

Total moment (μB per formula unit): 0.00
Energy of formation from the pure elements (kJ/mol of atoms): -34.91

=====

No. 6
Material: Dy4Al12Ni
Method: DFT, PBE
State: relaxed

```
data_Dy4Al12Ni
_chemical_formula_sum 'Dy8 Al24 Ni2'
_symmetry_space_group_name_H-M 'I m -3 m'
_symmetry_Int_Tables_number 229
_symmetry_space_group_name_Hall '-I 4 2 3'
_cell_length_a 8.5943
_cell_length_b 8.5943
_cell_length_c 8.5943
_cell_angle_alpha 90.00
_cell_angle_beta 90.00
_cell_angle_gamma 90.00
loop_
_atom_site_label
_atom_site_fract_x
_atom_site_fract_y
_atom_site_fract_z
Dy1 0.2500 0.2500 0.2500
Al1 0.0000 0.0000 0.2833
Al2 0.0000 0.2500 0.5000
Ni1 0.0000 0.0000 0.0000
```

Total moment (μB per formula unit): 0.00
Energy of formation from the pure elements (kJ/mol of atoms): -47.30

=====

No. 7
Material: Dy12AlNi6
Method: DFT, PBE
State: relaxed

```
data_Dy12AlNi6
_chemical_formula_sum 'Dy24 Al2 Ni12'
_symmetry_space_group_name_H-M 'I m -3'
_symmetry_Int_Tables_number 204
_symmetry_space_group_name_Hall '-I 2 2 3'
_cell_length_a 9.6615
_cell_length_b 9.6615
_cell_length_c 9.6615
_cell_angle_alpha 90.00
_cell_angle_beta 90.00
_cell_angle_gamma 90.00
loop_
_atom_site_label
_atom_site_fract_x
_atom_site_fract_y
_atom_site_fract_z
Dy1 0.0000 0.1864 0.3016
Al1 0.0000 0.0000 0.0000
Ni1 0.0000 0.3760 0.5000
```

Total moment (μB per formula unit): 0.00
Energy of formation from the pure elements (kJ/mol of atoms): -33.04

=====

No. 8
Material: Dy5AlNi2
Method: DFT, PBE
State: relaxed

```
data_Dy5AlNi2
_chemical_formula_sum 'Dy20 Al4 Ni8'
_symmetry_space_group_name_H-M 'I 4/m c m'
_symmetry_Int_Tables_number 140
_symmetry_space_group_name_Hall '-I 4 2c'
_cell_length_a 7.6246
_cell_length_b 7.6246
_cell_length_c 13.1592
_cell_angle_alpha 90.00
_cell_angle_beta 90.00
_cell_angle_gamma 90.00
loop_
_atom_site_label
_atom_site_fract_x
_atom_site_fract_y
_atom_site_fract_z
Dy1 0.0000 0.0000 0.0000
Dy2 0.1616 0.3384 0.1381
Al1 0.0000 0.0000 0.2500
Ni1 0.1254 0.3746 0.5000
```

Total moment (μB per formula unit): 0.00
Energy of formation from the pure elements (kJ/mol of atoms): -31.17